A relaxed structure of Na2B3C, computed with PBE-GGA.

Lattice parameters (Å, degrees): 9.1261 9.1261 13.5397 112.57 112.57 17.77
Fractional coordinates of all 30 atoms:
1 Na 0.0001 0.0001 0.9992
2 Na 0.1994 0.1994 0.8998
3 Na 0.1999 0.1999 0.3980
4 Na 0.4010 0.4010 0.2985
5 Na 0.4005 0.4005 0.8027
6 Na 0.6000 0.6000 0.7019
7 Na 0.5989 0.5989 0.1975
8 Na 0.7998 0.7998 0.0984
9 Na 0.7998 0.7998 0.6033
10 Na 0.0005 0.0005 0.5006
11 B 0.7720 0.7720 0.7952
12 B 0.8384 0.8384 0.9266
13 B 0.5632 0.5632 0.8777
14 B 0.8346 0.8346 0.4186
15 B 0.9699 0.9699 0.1868
16 B 0.0354 0.0354 0.3196
17 B 0.7703 0.7703 0.2897
18 B 0.1665 0.1665 0.5851
19 B 0.2300 0.2300 0.7120
20 B 0.9697 0.9697 0.6908
21 B 0.2261 0.2261 0.2018
22 B 0.4305 0.4305 0.1087
23 B 0.1583 0.1583 0.0658
24 B 0.6248 0.6248 0.5003
25 B 0.3784 0.3784 0.5069
26 C 0.6270 0.6270 0.0032
27 C 0.0314 0.0314 0.8151
28 C 0.3693 0.3693 0.9875
29 C 0.4379 0.4379 0.6264
30 C 0.5661 0.5661 0.3822

Results
* calculated volume: 317 Å³/cell
* D(E_F): 8.02 states/eV/cell
* ΔE to the lowest computed polymorph: 0.12 eV per formula unit
* calculated total energy: -5.163 eV per atom
* energy of formation: 3.53 kcal/mol of atoms